No. 1
{
  "formula": "SmTmHfSc",
  "functional": "PBE",
  "state": "optimized geometry",
  "space_group": "F-43m (216)",
  "delta_e_f_ev_per_atom": 0.248,
  "total_magnetization_mub_per_fu": 0.2,
  "crystal_system": "cubic",
  "lattice_angstrom": [[-3.448, -1.221, -3.893], [0.254, -4.768, -2.394], [-3.825, -3.628, 0.861]],
  "species": ["Hf", "Tm", "Sc", "Sm"],
  "frac_coords": [[0.750, 0.750, 0.750], [0.500, 0.500, 0.500], [0.000, 0.000, 0.000], [0.250, 0.250, 0.250]]
}


No. 2
{
  "formula": "HfScSn",
  "functional": "PBE",
  "state": "optimized geometry",
  "space_group": "P3m1 (156)",
  "delta_e_f_ev_per_atom": -0.023,
  "total_magnetization_mub_per_fu": 0.0,
  "crystal_system": "trigonal",
  "lattice_angstrom": [[3.030, 0.000, 0.000], [0.000, 5.001, 0.000], [0.000, -2.500, 4.331]],
  "species": ["Sn", "Sc", "Hf"],
  "frac_coords": [[0.666, 0.667, 0.333], [0.165, 0.333, 0.667], [0.168, 0.000, 0.000]]
}


No. 3
{
  "formula": "Hf2ScSn",
  "functional": "PBE",
  "state": "optimized geometry",
  "space_group": "R-3m (166)",
  "delta_e_f_ev_per_atom": 1.083,
  "total_magnetization_mub_per_fu": 0.0,
  "crystal_system": "trigonal",
  "lattice_angstrom": [[4.637, 0.000, 0.000], [2.318, 4.016, 0.000], [2.318, 1.339, 7.492]],
  "species": ["Hf", "Hf", "Sn", "Sc"],
  "frac_coords": [[0.127, 0.127, 0.618], [0.873, 0.873, 0.382], [0.500, 0.500, 0.500], [0.000, 0.000, 0.000]]
}


No. 4
{
  "formula": "Hf2ScSn",
  "functional": "PBE",
  "state": "optimized geometry",
  "space_group": "R3m (160)",
  "delta_e_f_ev_per_atom": -0.082,
  "total_magnetization_mub_per_fu": 0.0,
  "crystal_system": "trigonal",
  "lattice_angstrom": [[3.252, 0.000, 0.000], [1.626, 2.816, 0.000], [1.626, 0.939, 10.029]],
  "species": ["Sc", "Hf", "Sn", "Hf"],
  "frac_coords": [[0.500, 0.500, 0.501], [0.083, 0.083, 0.750], [0.667, 0.667, 0.000], [0.250, 0.250, 0.249]]
}


No. 5
{
  "formula": "HfScSn2",
  "functional": "PBE",
  "state": "optimized geometry",
  "space_group": "I-42d (122)",
  "delta_e_f_ev_per_atom": -0.174,
  "total_magnetization_mub_per_fu": 0.0,
  "crystal_system": "tetragonal",
  "lattice_angstrom": [[-5.404, -5.283, 2.257], [3.747, -0.893, 6.882], [-2.559, -0.788, 5.810]],
  "species": ["Hf", "Sc", "Sn", "Sn", "Sc", "Sn", "Hf", "Sn"],
  "frac_coords": [[0.000, 0.000, 0.000], [0.250, 0.750, 0.500], [0.124, 0.625, 0.250], [0.626, 0.125, 0.250], [0.500, 0.500, 0.000], [0.375, 0.374, 0.750], [0.750, 0.250, 0.500], [0.875, 0.876, 0.750]]
}


No. 6
{
  "formula": "Hf5ScSn4",
  "functional": "PBE",
  "state": "optimized geometry",
  "space_group": "Pmmn (59)",
  "delta_e_f_ev_per_atom": -0.018,
  "total_magnetization_mub_per_fu": 0.6,
  "crystal_system": "orthorhombic",
  "lattice_angstrom": [[5.255, 0.000, 0.000], [0.000, 8.770, 0.000], [0.000, 0.000, 10.605]],
  "species": ["Sn", "Sn", "Hf", "Hf", "Sn", "Sn", "Hf", "Hf", "Sn", "Sc", "Sn", "Sn", "Hf", "Hf", "Hf", "Hf", "Hf", "Sn", "Hf", "Sc"],
  "frac_coords": [[0.493, 0.743, 0.000], [0.507, 0.757, 0.500], [0.252, 0.834, 0.251], [0.748, 0.334, 0.249], [0.493, 0.257, 0.000], [0.507, 0.243, 0.500], [0.748, 0.666, 0.249], [0.252, 0.166, 0.251], [0.752, 0.000, 0.250], [0.950, 0.500, 0.500], [0.248, 0.500, 0.250], [0.248, 0.500, 0.750], [0.748, 0.334, 0.751], [0.945, 0.500, 0.000], [0.748, 0.666, 0.751], [0.055, 0.000, 0.500], [0.252, 0.166, 0.749], [0.752, 0.000, 0.750], [0.252, 0.834, 0.749], [0.050, 0.000, 0.000]]
}


No. 7
{
  "formula": "HfScSn2",
  "functional": "PBE",
  "state": "optimized geometry",
  "space_group": "Fm-3m (225)",
  "delta_e_f_ev_per_atom": -0.227,
  "total_magnetization_mub_per_fu": 1.1,
  "crystal_system": "cubic",
  "lattice_angstrom": [[0.000, 3.572, 3.572], [3.572, 0.000, 3.572], [3.572, 3.572, 0.000]],
  "species": ["Sc", "Sn", "Hf", "Sn"],
  "frac_coords": [[0.000, 0.000, 0.000], [0.250, 0.250, 0.250], [0.500, 0.500, 0.500], [0.750, 0.750, 0.750]]
}


No. 8
{
  "formula": "Hf2ScSn",
  "functional": "PBE",
  "state": "optimized geometry",
  "space_group": "P2_1/m (11)",
  "delta_e_f_ev_per_atom": -0.393,
  "total_magnetization_mub_per_fu": 0.0,
  "crystal_system": "monoclinic",
  "lattice_angstrom": [[-2.627, -1.838, 2.840], [3.335, -2.043, 1.763], [-0.239, 8.860, 5.514]],
  "species": ["Sc", "Hf", "Hf", "Hf", "Sn", "Sc", "Hf", "Sn"],
  "frac_coords": [[0.750, 0.688, 0.377], [0.750, 0.053, 0.106], [0.750, 0.445, 0.889], [0.250, 0.947, 0.894], [0.750, 0.834, 0.668], [0.250, 0.312, 0.623], [0.250, 0.555, 0.111], [0.250, 0.166, 0.332]]
}


No. 9
{
  "formula": "Hf4ScSn2",
  "functional": "PBE",
  "state": "optimized geometry",
  "space_group": "I4/mmm (139)",
  "delta_e_f_ev_per_atom": 0.737,
  "total_magnetization_mub_per_fu": 0.0,
  "crystal_system": "tetragonal",
  "lattice_angstrom": [[-3.024, 3.544, 0.418], [-1.029, -1.390, 4.346], [7.763, 3.486, 0.436]],
  "species": ["Sc", "Hf", "Hf", "Sn", "Sn", "Hf", "Hf"],
  "frac_coords": [[0.000, 0.000, 0.000], [0.000, 0.500, 0.000], [0.817, 0.817, 0.634], [0.636, 0.636, 0.271], [0.364, 0.364, 0.729], [0.500, 0.000, 0.000], [0.183, 0.183, 0.366]]
}


No. 10
{
  "formula": "HfSc2Sn",
  "functional": "PBE",
  "state": "optimized geometry",
  "space_group": "R-3m (166)",
  "delta_e_f_ev_per_atom": -0.216,
  "total_magnetization_mub_per_fu": 0.0,
  "crystal_system": "trigonal",
  "lattice_angstrom": [[3.288, 0.000, 0.000], [1.644, 2.847, 0.000], [1.644, 0.949, 9.984]],
  "species": ["Sc", "Sc", "Sn", "Hf"],
  "frac_coords": [[0.750, 0.750, 0.750], [0.250, 0.250, 0.250], [0.000, 0.000, 0.000], [0.500, 0.500, 0.500]]
}


No. 11
{
  "formula": "HfSc2Sn",
  "functional": "PBE",
  "state": "optimized geometry",
  "space_group": "I-42d (122)",
  "delta_e_f_ev_per_atom": 0.176,
  "total_magnetization_mub_per_fu": 0.0,
  "crystal_system": "tetragonal",
  "lattice_angstrom": [[-1.689, 0.625, -7.863], [6.213, -4.850, -1.720], [0.465, -4.484, -4.594]],
  "species": ["Hf", "Sc", "Sn", "Sc", "Sc", "Sn", "Sc", "Hf"],
  "frac_coords": [[0.000, 0.000, 0.000], [0.139, 0.625, 0.250], [0.250, 0.750, 0.500], [0.611, 0.125, 0.250], [0.375, 0.389, 0.750], [0.500, 0.500, 0.000], [0.875, 0.861, 0.750], [0.750, 0.250, 0.500]]
}


No. 12
{
  "formula": "Hf2Sc2Sn",
  "functional": "PBE",
  "state": "optimized geometry",
  "space_group": "I4/mmm (139)",
  "delta_e_f_ev_per_atom": 0.374,
  "total_magnetization_mub_per_fu": 0.0,
  "crystal_system": "tetragonal",
  "lattice_angstrom": [[4.071, 0.000, 0.000], [0.000, 4.071, 0.000], [2.035, 2.035, 7.259]],
  "species": ["Sn", "Hf", "Hf", "Sc", "Sc"],
  "frac_coords": [[0.000, 0.000, 0.000], [0.589, 0.589, 0.822], [0.411, 0.411, 0.178], [0.250, 0.750, 0.500], [0.750, 0.250, 0.500]]
}


No. 13
{
  "formula": "Hf2ScSn",
  "functional": "PBE",
  "state": "optimized geometry",
  "space_group": "I-42d (122)",
  "delta_e_f_ev_per_atom": 0.269,
  "total_magnetization_mub_per_fu": 0.0,
  "crystal_system": "tetragonal",
  "lattice_angstrom": [[8.120, 0.000, 0.000], [0.000, 8.120, 0.000], [4.060, 4.060, 2.924]],
  "species": ["Sn", "Hf", "Hf", "Hf", "Hf", "Sc", "Sn", "Sc"],
  "frac_coords": [[0.750, 0.250, 0.500], [0.375, 0.359, 0.750], [0.109, 0.625, 0.250], [0.875, 0.891, 0.750], [0.641, 0.125, 0.250], [0.500, 0.500, 0.000], [0.000, 0.000, 0.000], [0.250, 0.750, 0.500]]
}


No. 14
{
  "formula": "HfScSn",
  "functional": "PBE",
  "state": "optimized geometry",
  "space_group": "I4mm (107)",
  "delta_e_f_ev_per_atom": -0.312,
  "total_magnetization_mub_per_fu": 0.0,
  "crystal_system": "tetragonal",
  "lattice_angstrom": [[-3.162, 0.780, -1.539], [-1.142, -3.355, 0.647], [0.298, 2.801, 5.022]],
  "species": ["Sc", "Sn", "Hf"],
  "frac_coords": [[0.949, 0.949, 0.897], [0.284, 0.284, 0.567], [0.618, 0.618, 0.235]]
}


No. 15
{
  "formula": "HfScSn",
  "functional": "PBE",
  "state": "optimized geometry",
  "space_group": "P4/nmm (129)",
  "delta_e_f_ev_per_atom": 0.094,
  "total_magnetization_mub_per_fu": 0.0,
  "crystal_system": "tetragonal",
  "lattice_angstrom": [[4.484, 0.000, 0.000], [0.000, 4.484, 0.000], [0.000, 0.000, 7.167]],
  "species": ["Hf", "Sn", "Hf", "Sc", "Sc", "Sn"],
  "frac_coords": [[0.000, 0.500, 0.288], [0.500, 0.500, 0.000], [0.500, 0.000, 0.712], [0.500, 0.000, 0.285], [0.000, 0.500, 0.715], [0.000, 0.000, 0.000]]
}


No. 16
{
  "formula": "HfScSn2",
  "functional": "PBE",
  "state": "optimized geometry",
  "space_group": "R-3m (166)",
  "delta_e_f_ev_per_atom": -0.280,
  "total_magnetization_mub_per_fu": 0.0,
  "crystal_system": "trigonal",
  "lattice_angstrom": [[3.950, 0.000, 0.000], [1.975, 3.421, 0.000], [1.975, 1.140, 7.379]],
  "species": ["Sn", "Sn", "Hf", "Sc"],
  "frac_coords": [[0.249, 0.249, 0.254], [0.751, 0.751, 0.746], [0.500, 0.500, 0.500], [0.000, 0.000, 0.000]]
}


No. 17
{
  "formula": "Hf3ScSn2",
  "functional": "PBE",
  "state": "optimized geometry",
  "space_group": "C2/m (12)",
  "delta_e_f_ev_per_atom": -0.270,
  "total_magnetization_mub_per_fu": 0.0,
  "crystal_system": "monoclinic",
  "lattice_angstrom": [[-3.476, -0.910, -2.010], [-2.578, -1.379, 9.299], [0.285, 7.810, -4.029]],
  "species": ["Sc", "Hf", "Sn", "Hf", "Hf", "Sn", "Sn", "Hf", "Sn", "Hf", "Sc", "Hf"],
  "frac_coords": [[0.884, 0.767, 0.881], [0.690, 0.379, 0.486], [0.251, 0.502, 0.793], [0.629, 0.258, 0.765], [0.943, 0.885, 0.559], [0.506, 0.013, 0.166], [0.494, 0.987, 0.834], [0.371, 0.742, 0.235], [0.749, 0.498, 0.207], [0.310, 0.621, 0.514], [0.116, 0.233, 0.119], [0.057, 0.115, 0.441]]
}


No. 18
{
  "formula": "Hf2Sc2Sn",
  "functional": "PBE",
  "state": "optimized geometry",
  "space_group": "P4/mbm (127)",
  "delta_e_f_ev_per_atom": -0.049,
  "total_magnetization_mub_per_fu": 0.0,
  "crystal_system": "tetragonal",
  "lattice_angstrom": [[-3.198, 1.937, 6.527], [6.346, -1.764, 3.633], [1.383, 3.953, -0.496]],
  "species": ["Sn", "Sn", "Sc", "Sc", "Sc", "Sc", "Hf", "Hf", "Hf", "Hf"],
  "frac_coords": [[0.000, 0.000, 0.000], [0.500, 0.500, 0.000], [0.845, 0.345, 0.500], [0.155, 0.655, 0.500], [0.345, 0.155, 0.500], [0.655, 0.845, 0.500], [0.362, 0.862, 0.000], [0.138, 0.362, 0.000], [0.862, 0.638, 0.000], [0.638, 0.138, 0.000]]
}


No. 19
{
  "formula": "Hf2ScSn2",
  "functional": "PBE",
  "state": "optimized geometry",
  "space_group": "P4/mbm (127)",
  "delta_e_f_ev_per_atom": -0.119,
  "total_magnetization_mub_per_fu": 0.3,
  "crystal_system": "tetragonal",
  "lattice_angstrom": [[-1.717, -3.177, 7.737], [7.812, 2.211, 2.641], [-1.122, 2.860, 0.925]],
  "species": ["Sn", "Sc", "Sn", "Hf", "Hf", "Sn", "Sc", "Hf", "Hf", "Sn"],
  "frac_coords": [[0.826, 0.326, 0.500], [0.000, 0.000, 0.000], [0.326, 0.174, 0.500], [0.123, 0.377, 0.000], [0.623, 0.123, 0.000], [0.174, 0.674, 0.500], [0.500, 0.500, 0.000], [0.377, 0.877, 0.000], [0.877, 0.623, 0.000], [0.674, 0.826, 0.500]]
}


No. 20
{
  "formula": "HfScSn",
  "functional": "PBE",
  "state": "optimized geometry",
  "space_group": "P4/nmm (129)",
  "delta_e_f_ev_per_atom": -0.495,
  "total_magnetization_mub_per_fu": 0.0,
  "crystal_system": "tetragonal",
  "lattice_angstrom": [[-4.149, -0.463, 0.734], [-0.519, -1.554, -3.909], [1.286, -7.232, 2.704]],
  "species": ["Sn", "Sc", "Sn", "Hf", "Hf", "Sc"],
  "frac_coords": [[0.000, 0.500, 0.217], [0.000, 0.500, 0.832], [0.500, 0.000, 0.783], [0.000, 0.000, 0.500], [0.500, 0.500, 0.500], [0.500, 0.000, 0.168]]
}